MgZr2TlO after structural relaxation. Source: the Alexandria database, functional PBE.

Unit cell a=4.580 b=4.580 c=4.324 alpha=90.00 beta=90.00 gamma=90.00
Space group P4/mmm (No. 123)
Symmetry-distinct sites (fractional):
1 Mg 0.000 0.000 0.000
2 Zr 0.000 0.500 0.500
3 Tl 0.500 0.500 0.000
4 O 0.000 0.000 0.500

M_tot	0.00	μB per formula unit
formation energy without anion corrections	-0.9262	eV/atom
E_tot	-6.13	eV/atom

MgZrTl2O6 after structural relaxation. Source: the Alexandria database, functional PBE.

Unit cell a=5.5894 b=5.5894 c=14.7617 alpha=90.00 beta=90.00 gamma=120.00
Space group R3 (No. 146, hexagonal axes)
Symmetry-distinct sites (fractional):
1 Mg 0.0000 0.0000 0.0000
2 Zr 0.0000 0.0000 0.5046
3 Tl 0.0000 0.0000 0.2853
4 Tl 0.0000 0.0000 0.7760
5 O 0.0546 0.7042 0.5720
6 O 0.0576 0.3530 0.0716

M_tot	0.00	μB per formula unit
formation energy without anion corrections	-1.8157	eV/atom
E_tot	-6.28	eV/atom

Tm6Mg2O after structural relaxation. Source: the Alexandria database, functional PBE.

Unit cell a=11.770 b=6.848 c=6.820 alpha=90.00 beta=125.40 gamma=90.00
Space group C2/m (No. 12)
Symmetry-distinct sites (fractional):
1 Tm 0.018 0.247 0.271
2 Tm 0.247 0.000 0.784
3 Mg 0.250 0.000 0.250
4 O 0.000 0.000 0.500

M_tot	0.00	μB per formula unit
formation energy without anion corrections	-0.6193	eV/atom
E_tot	-4.51	eV/atom

TmMgO after structural relaxation. Source: the Alexandria database, functional PBE.

Unit cell a=3.6040 b=3.6040 c=33.9238 alpha=90.00 beta=90.00 gamma=120.00
Space group R-3m (No. 166, hexagonal axes)
Symmetry-distinct sites (fractional):
1 Tm 0.0000 0.0000 0.1230
2 Mg 0.0000 0.0000 0.2960
3 O 0.0000 0.0000 0.1925

M_tot	0.00	μB per formula unit
formation energy without anion corrections	-1.8808	eV/atom
E_tot	-5.56	eV/atom

TmMgO2 after structural relaxation. Source: the Alexandria database, functional PBE.

Unit cell a=3.1286 b=3.1286 c=16.4438 alpha=90.00 beta=90.00 gamma=120.00
Space group R-3m (No. 166, hexagonal axes)
Symmetry-distinct sites (fractional):
1 Tm 0.0000 0.0000 0.0000
2 Mg 0.0000 0.0000 0.5000
3 O 0.0000 0.0000 0.2389

M_tot	0.00	μB per formula unit
formation energy without anion corrections	-2.6136	eV/atom
E_tot	-6.61	eV/atom

Mg2UO5 after structural relaxation. Source: the Alexandria database, functional PBE.

Unit cell a=10.542 b=5.390 c=7.683 alpha=90.00 beta=111.72 gamma=90.00
Space group C2/c (No. 15)
Symmetry-distinct sites (fractional):
1 Mg 0.131 0.010 0.227
2 U 0.000 0.500 0.000
3 O 0.000 0.284 0.750
4 O 0.079 0.173 0.448
5 O 0.184 0.354 0.155

M_tot	0.00	μB per formula unit
formation energy without anion corrections	-2.9114	eV/atom
E_tot	-7.82	eV/atom

MgU2O6 after structural relaxation. Source: the Alexandria database, functional PBE.

Unit cell a=3.791 b=5.239 c=10.988 alpha=90.00 beta=90.00 gamma=90.00
Space group Immm (No. 71)
Symmetry-distinct sites (fractional):
1 Mg 0.000 0.000 0.000
2 U 0.000 0.000 0.337
3 O 0.000 0.243 0.500
4 O 0.000 0.252 0.169

M_tot	2.01	μB per formula unit
formation energy without anion corrections	-3.0728	eV/atom
E_tot	-9.06	eV/atom

MgUO3 after structural relaxation. Source: the Alexandria database, functional PBE.

Unit cell a=3.813 b=3.813 c=3.813 alpha=90.00 beta=90.00 gamma=90.00
Space group Pm-3m (No. 221)
Symmetry-distinct sites (fractional):
1 Mg 0.000 0.000 0.000
2 U 0.500 0.500 0.500
3 O 0.000 0.000 0.500

M_tot	2.00	μB per formula unit
formation energy without anion corrections	-2.4241	eV/atom
E_tot	-7.98	eV/atom

Mg2UO4 after structural relaxation. Source: the Alexandria database, functional PBE.

Unit cell a=6.867 b=6.867 c=7.047 alpha=90.00 beta=90.00 gamma=90.00
Space group I4_1/amd (No. 141, origin choice 2)
Symmetry-distinct sites (fractional):
1 Mg 0.000 0.000 0.000
2 U 0.000 0.250 0.375
3 O 0.000 0.060 0.709

M_tot	2.00	μB per formula unit
formation energy without anion corrections	-2.7875	eV/atom
E_tot	-7.69	eV/atom

MgU2O6 after structural relaxation. Source: the Alexandria database, functional PBE.

Unit cell a=6.458 b=10.986 c=6.526 alpha=90.00 beta=108.83 gamma=90.00
Space group C2/c (No. 15)
Symmetry-distinct sites (fractional):
1 Mg 0.000 0.080 0.250
2 U 0.000 0.244 0.750
3 U 0.000 0.414 0.250
4 O 0.103 0.411 0.612
5 O 0.126 0.241 0.125
6 O 0.144 0.080 0.643

M_tot	2.00	μB per formula unit
formation energy without anion corrections	-3.0758	eV/atom
E_tot	-9.07	eV/atom

Mg4U2O9 after structural relaxation. Source: the Alexandria database, functional PBE.

Unit cell a=5.3868 b=5.3868 c=14.6902 alpha=90.00 beta=90.00 gamma=120.00
Space group P-3c1 (No. 165)
Symmetry-distinct sites (fractional):
1 Mg 0.3333 0.6667 0.1862
2 Mg 0.3333 0.6667 0.4853
3 U 0.0000 0.0000 0.1399
4 O 0.0000 0.2985 0.2500
5 O 0.0281 0.3683 0.5823

M_tot	2.02	μB per formula unit
formation energy without anion corrections	-2.8892	eV/atom
E_tot	-7.79	eV/atom

Mg5U3O12 after structural relaxation. Source: the Alexandria database, functional PBE.

Unit cell a=12.497 b=12.497 c=12.497 alpha=90.00 beta=90.00 gamma=90.00
Space group Ia-3d (No. 230)
Symmetry-distinct sites (fractional):
1 Mg 0.000 0.000 0.000
2 Mg 0.000 0.250 0.375
3 U 0.000 0.250 0.125
4 O 0.021 0.063 0.654

M_tot	4.00	μB per formula unit
formation energy without anion corrections	-2.8526	eV/atom
E_tot	-7.92	eV/atom

Question: E_tot of number 8 (MgUO3)?
Answer: -7.98 eV/atom

Question: Which of these has the lowest E_tot?
Answer: number 10

Question: Number 9 is which compound?
Answer: Mg2UO4

What did the first record say?
MgZr2TlO after structural relaxation. Source: the Alexandria database, functional PBE.

Unit cell a=4.580 b=4.580 c=4.324 alpha=90.00 beta=90.00 gamma=90.00
Space group P4/mmm (No. 123)
Symmetry-distinct sites (fractional):
1 Mg 0.000 0.000 0.000
2 Zr 0.000 0.500 0.500
3 Tl 0.500 0.500 0.000
4 O 0.000 0.000 0.500

M_tot	0.00	μB per formula unit
formation energy without anion corrections	-0.9262	eV/atom
E_tot	-6.13	eV/atom